Entry 1:
Density functional theory data (meta-GGA SCAN) for a PBEsol-optimized structure of LiMn.

Values from the calculation:
Total energy   -39.88 eV per cell

Lattice parameters (Å, degrees): 2.4059 2.4059 8.9030 90.00 90.00 112.37
Atoms (fractional coordinates):
Li  0.2500  0.7500  0.8533
Li  0.7500  0.2500  0.1467
Mn  0.2500  0.7500  0.3945
Mn  0.7500  0.2500  0.6055

***

Entry 2:
Density functional theory data (meta-GGA SCAN) for a PBEsol-optimized structure of LiMnMo.

Values from the calculation:
ΔE to the lowest computed polymorph   733 meV per atom

Lattice parameters (Å, degrees): 3.9738 3.9738 3.9738 60.00 60.00 60.00
Atoms (fractional coordinates):
Li  0.0000  0.0000  0.0000
Mn  0.5000  0.5000  0.5000
Mo  0.2500  0.2500  0.2500

***

Entry 3:
Density functional theory data (meta-GGA SCAN) for a PBEsol-optimized structure of Li2MnMo.

Values from the calculation:
ΔE to the lowest computed polymorph   36 meV per atom

Lattice parameters (Å, degrees): 4.6846 4.6846 4.6846 142.01 122.01 71.44
Atoms (fractional coordinates):
Li  0.0000  0.0000  0.0000
Li  0.7613  0.2613  0.5000
Mn  0.2673  0.7673  0.5000
Mo  0.4774  0.4774  0.0000

***

Entry 4:
Density functional theory data (meta-GGA SCAN) for a PBEsol-optimized structure of LiMn2Mo.

Values from the calculation:
Total energy   -72.16 eV per cell

Lattice parameters (Å, degrees): 2.4493 4.0727 4.7678 90.00 98.23 90.00
Atoms (fractional coordinates):
Li  0.0000  0.0000  0.0000
Mn  0.2815  0.5000  0.7653
Mn  0.7185  0.5000  0.2347
Mo  0.5000  0.0000  0.5000

***

Entry 5:
Density functional theory data (meta-GGA SCAN) for a PBEsol-optimized structure of Li2MnMo.

Values from the calculation:
ΔE to the lowest computed polymorph   0 meV per atom

Lattice parameters (Å, degrees): 4.4176 4.4176 5.3005 91.06 91.06 31.39
Atoms (fractional coordinates):
Li  0.0000  0.0000  0.0000
Li  0.2502  0.2502  0.7774
Mn  0.5074  0.5074  0.4867
Mo  0.7478  0.7478  0.3036

***

Entry 6:
Density functional theory data (meta-GGA SCAN) for a PBEsol-optimized structure of LiMnMo.

Values from the calculation:
ΔE to the lowest computed polymorph   0 meV per atom

Lattice parameters (Å, degrees): 7.0409 6.8702 2.5663 83.14 75.64 21.22
Atoms (fractional coordinates):
Li  0.0000  0.0000  0.0000
Mn  0.3354  0.3354  0.6646
Mo  0.6842  0.6842  0.3158